1.
Density functional theory data (PBE) for a relaxed structure of Cs3ZnI6.

Results
**Final energy**: -48.509 eV for the cell shown
**Symmetry**: No. 36
**E_form (uncorrected)**: -1112 meV/atom

Cell and atoms, written as POSCAR:
```
Cs3ZnI6
1.0
8.1737 -10.6234 0.0000
8.1737 10.6234 0.0000
0.0000 0.0000 6.7921
Cs Zn I
6 2 12
Direct
0.1169 0.8831 0.5000 Cs
0.1933 0.4398 0.4734 Cs
0.4398 0.1933 0.9734 Cs
0.5602 0.8067 0.4734 Cs
0.8067 0.5602 0.9734 Cs
0.8831 0.1169 0.0000 Cs
0.2922 0.7078 0.9208 Zn
0.7078 0.2922 0.4208 Zn
0.0972 0.6312 0.8064 I
0.1623 0.1648 0.7342 I
0.1648 0.1623 0.2342 I
0.2836 0.7164 0.3052 I
0.3688 0.9028 0.8064 I
0.4127 0.5873 0.8256 I
0.5873 0.4127 0.3256 I
0.6312 0.0972 0.3064 I
0.7164 0.2836 0.8052 I
0.8352 0.8377 0.7342 I
0.8377 0.8352 0.2342 I
0.9028 0.3688 0.3064 I
```

=====

2.
Density functional theory data (PBE) for a relaxed structure of Cs2Zn2I5.

Results
**Final energy**: -19.769 eV for the cell shown
**Symmetry**: No. 12
**E_form (uncorrected)**: -863 meV/atom

Cell and atoms, written as POSCAR:
```
Cs2Zn2I5
1.0
7.8631 -3.0241 0.0000
7.8631 3.0241 0.0000
-2.4910 0.0000 8.7497
Cs Zn I
2 2 5
Direct
0.0955 0.0955 0.3098 Cs
0.9045 0.9045 0.6902 Cs
0.3432 0.3432 0.1026 Zn
0.6568 0.6568 0.8974 Zn
0.1621 0.1621 0.9279 I
0.3537 0.3537 0.4059 I
0.5000 0.5000 0.0000 I
0.6463 0.6463 0.5941 I
0.8379 0.8379 0.0721 I
```

=====

3.
Density functional theory data (PBE) for a relaxed structure of Cs2Zn2I.

Results
**Final energy**: -14.764 eV for the cell shown
**Symmetry**: No. 127
**Energy above the most stable polymorph in this dataset**: 0.0 meV per atom
**E_form (uncorrected)**: -315 meV/atom

Cell and atoms, written as POSCAR:
```
Cs2Zn2I
1.0
9.7832 0.0000 0.0000
0.0000 9.7832 0.0000
0.0000 0.0000 4.8661
Cs Zn I
4 4 2
Direct
0.2014 0.2986 0.0000 Cs
0.2986 0.7986 0.0000 Cs
0.7014 0.2014 0.0000 Cs
0.7986 0.7014 0.0000 Cs
0.0943 0.5943 0.5000 Zn
0.4057 0.0943 0.5000 Zn
0.5943 0.9057 0.5000 Zn
0.9057 0.4057 0.5000 Zn
0.0000 0.0000 0.5000 I
0.5000 0.5000 0.5000 I
```

=====

4.
Density functional theory data (PBE) for a relaxed structure of Cs4ZnI2.

Results
**Final energy**: -12.354 eV for the cell shown
**Symmetry**: No. 139
**E_form (uncorrected)**: -652 meV/atom

Cell and atoms, written as POSCAR:
```
Cs4ZnI2
1.0
-3.4541 3.4541 10.1114
3.4541 -3.4541 10.1114
3.4541 3.4541 -10.1114
Cs Zn I
4 1 2
Direct
0.0000 0.5000 0.5000 Cs
0.1899 0.1899 0.0000 Cs
0.5000 0.0000 0.5000 Cs
0.8101 0.8101 0.0000 Cs
0.0000 0.0000 0.0000 Zn
0.3768 0.3768 0.0000 I
0.6232 0.6232 0.0000 I
```

=====

5.
Density functional theory data (PBE) for a relaxed structure of Cs2Zr3I9.

Results
**Final energy**: -111.474 eV for the cell shown
**Symmetry**: No. 12
**E_form (uncorrected)**: -1031 meV/atom

Cell and atoms, written as POSCAR:
```
Cs2Zr3I9
1.0
6.1983 -10.1583 0.0000
6.1983 10.1583 0.0000
-4.9304 0.0000 10.3766
Cs Zr I
4 6 18
Direct
0.0563 0.7344 0.6825 Cs
0.2656 0.9437 0.3175 Cs
0.7344 0.0563 0.6825 Cs
0.9437 0.2656 0.3175 Cs
0.2825 0.4548 0.8613 Zr
0.3862 0.3862 0.1304 Zr
0.4548 0.2825 0.8613 Zr
0.5452 0.7175 0.1387 Zr
0.6138 0.6138 0.8696 Zr
0.7175 0.5452 0.1387 Zr
0.0056 0.3932 0.6814 I
0.1104 0.3131 0.9895 I
0.1896 0.1896 0.6752 I
0.2451 0.2451 0.2934 I
0.2980 0.7020 0.0000 I
0.3131 0.1104 0.9895 I
0.3774 0.5777 0.6849 I
0.3932 0.0056 0.6814 I
0.4223 0.6226 0.3151 I
0.5777 0.3774 0.6849 I
0.6068 0.9944 0.3186 I
0.6226 0.4223 0.3151 I
0.6869 0.8896 0.0105 I
0.7020 0.2980 0.0000 I
0.7549 0.7549 0.7066 I
0.8104 0.8104 0.3248 I
0.8896 0.6869 0.0105 I
0.9944 0.6068 0.3186 I
```

=====

6.
Density functional theory data (PBE) for a relaxed structure of Cs3ZrI7.

Results
**Final energy**: -35.033 eV for the cell shown
**Symmetry**: No. 8
**E_form (uncorrected)**: -1189 meV/atom

Cell and atoms, written as POSCAR:
```
Cs3ZrI7
1.0
6.4065 -5.9623 0.0000
6.4065 5.9623 0.0000
-5.7564 0.0000 7.7310
Cs Zr I
3 1 7
Direct
0.0000 0.0000 0.0000 Cs
0.2860 0.7434 0.5883 Cs
0.7434 0.2860 0.5883 Cs
0.5579 0.5579 0.1430 Zr
0.2161 0.5234 0.8396 I
0.3812 0.3812 0.2375 I
0.3860 0.8629 0.2836 I
0.5234 0.2161 0.8396 I
0.7106 0.7106 0.0150 I
0.8281 0.8281 0.5137 I
0.8629 0.3860 0.2836 I
```

=====

7.
Density functional theory data (PBE) for a relaxed structure of CsZr3I.

Results
**Final energy**: -22.455 eV for the cell shown
**Symmetry**: No. 221
**Energy above the most stable polymorph in this dataset**: 0.0 meV per atom
**E_form (uncorrected)**: 1119 meV/atom

Cell and atoms, written as POSCAR:
```
CsZr3I
1.0
5.4868 0.0000 0.0000
0.0000 5.4868 0.0000
0.0000 0.0000 5.4868
Cs Zr I
1 3 1
Direct
0.0000 0.0000 0.0000 Cs
0.0000 0.5000 0.5000 Zr
0.5000 0.0000 0.5000 Zr
0.5000 0.5000 0.0000 Zr
0.5000 0.5000 0.5000 I
```

=====

8.
Density functional theory data (PBE) for a relaxed structure of CsZr4I7.

Results
**Final energy**: -107.512 eV for the cell shown
**Symmetry**: No. 4
**E_form (uncorrected)**: -655 meV/atom

Cell and atoms, written as POSCAR:
```
CsZr4I7
1.0
6.1548 0.0000 0.0000
0.0000 5.6281 0.0000
-1.6020 0.0000 22.9044
Cs Zr I
2 8 14
Direct
0.2500 0.0000 0.2500 Cs
0.7500 0.5000 0.7500 Cs
0.1595 0.4987 0.5039 Zr
0.1901 0.9981 0.5982 Zr
0.3099 0.9996 0.9017 Zr
0.3405 0.4996 0.9960 Zr
0.6595 0.9996 0.0040 Zr
0.6901 0.4996 0.0983 Zr
0.8099 0.4981 0.4018 Zr
0.8405 0.9987 0.4961 Zr
0.1741 0.9997 0.0196 I
0.2119 0.4982 0.6338 I
0.2221 0.4999 0.1257 I
0.2500 0.9988 0.7500 I
0.2779 0.4984 0.3744 I
0.2882 0.4995 0.8662 I
0.3259 0.9986 0.4803 I
0.6741 0.4986 0.5197 I
0.7118 0.9995 0.1338 I
0.7221 0.9984 0.6256 I
0.7500 0.4988 0.2500 I
0.7779 0.9999 0.8743 I
0.7881 0.9982 0.3662 I
0.8259 0.4997 0.9804 I
```